A relaxed structure of Ca4Pa3P8. Source: Alexandria via LeMat-Bulk, functional PBE.

Cell lengths 8.6181, 8.6181, 8.6181 Å; angles 56.38, 56.38, 56.38 degrees
Fractional positions:
Ca1 0.0000 0.0000 0.0000
Ca2 0.1466 0.1466 0.1466
Ca3 0.5000 0.5000 0.5000
Ca4 0.8534 0.8534 0.8534
Pa1 0.0000 0.5000 0.5000
Pa2 0.5000 0.0000 0.5000
Pa3 0.5000 0.5000 0.0000
P1 0.2478 0.2478 0.7219
P2 0.2478 0.7219 0.2478
P3 0.2719 0.2719 0.2719
P4 0.2781 0.7522 0.7522
P5 0.7219 0.2478 0.2478
P6 0.7281 0.7281 0.7281
P7 0.7522 0.2781 0.7522
P8 0.7522 0.7522 0.2781

* symmetry: R-3m, No. 166
* crystal system: trigonal
* total magnetic moment: 0.00 μB/atom
* formation energy: -1309 kJ/mol of formula units

---

A relaxed structure of Na2ZrMn. Source: Alexandria via LeMat-Bulk, functional PBE.

Cell lengths 5.0877, 5.0877, 5.0877 Å; angles 60.00, 60.00, 60.00 degrees
Fractional positions:
Na1 0.2500 0.2500 0.2500
Na2 0.7500 0.7500 0.7500
Zr1 0.0000 0.0000 0.0000
Mn1 0.5000 0.5000 0.5000

* symmetry: Fm-3m, No. 225
* crystal system: cubic
* total magnetic moment: 0.58 μB/atom
* formation energy: 382 kJ/mol of formula units
* distance to the lowest polymorph of the same formula: 0.297 eV per atom

---

A relaxed structure of Cs2PICl. Source: Alexandria via LeMat-Bulk, functional PBE.

Cell lengths 6.6847, 6.6847, 6.0575 Å; angles 90.00, 90.00, 90.00 degrees
Fractional positions:
Cs1 0.0000 0.5000 0.0000
Cs2 0.5000 0.0000 0.0000
P1 0.0000 0.0000 0.5000
I1 0.5000 0.5000 0.5000
Cl1 0.5000 0.5000 0.0000

* symmetry: P4/mmm, No. 123
* crystal system: tetragonal
* total magnetic moment: 0.49 μB/atom
* ΔE_f (raw): -189 kJ/mol of formula units

---

A relaxed structure of LuHfIn. Source: Alexandria via LeMat-Bulk, functional PBE.

Cell lengths 5.1713, 5.1713, 3.0766 Å; angles 90.00, 90.00, 120.00 degrees
Fractional positions:
Lu1 0.0000 0.0000 0.0000
Hf1 0.3333 0.6667 0.0022
In1 0.6667 0.3333 0.5000

* symmetry: P3m1, No. 156
* crystal system: trigonal
* total magnetic moment: 0.23 μB/atom
* formation energy: 40 kJ/mol of formula units
* distance to the lowest polymorph of the same formula: 0.335 eV per atom

---

A relaxed structure of Nd6GeAs2Cl3. Source: Alexandria via LeMat-Bulk, functional PBE.

Cell lengths 9.4597, 9.4597, 8.4592 Å; angles 102.20, 102.20, 25.96 degrees
Fractional positions:
Nd1 0.0047 0.0047 0.2370
Nd2 0.3283 0.3283 0.4313
Nd3 0.3394 0.3394 0.9054
Nd4 0.6606 0.6606 0.0946
Nd5 0.6717 0.6717 0.5687
Nd6 0.9953 0.9953 0.7630
Ge1 0.5000 0.5000 0.0000
As1 0.1670 0.1670 0.3325
As2 0.8330 0.8330 0.6675
Cl1 0.1658 0.1658 0.8318
Cl2 0.5000 0.5000 0.5000
Cl3 0.8342 0.8342 0.1682

* symmetry: C2/m, No. 12
* crystal system: monoclinic
* total magnetic moment: 0.00 μB/atom
* ΔE_f (raw): -1670 kJ/mol of formula units

---

A relaxed structure of ZrIrRu2. Source: Alexandria via LeMat-Bulk, functional PBE.

Cell lengths 3.3545, 3.3545, 5.7871 Å; angles 90.00, 90.00, 90.00 degrees
Fractional positions:
Zr1 0.0000 0.0000 0.0000
Ir1 0.5000 0.5000 0.2561
Ru1 0.0000 0.0000 0.5066
Ru2 0.5000 0.5000 0.7174

* symmetry: P4mm, No. 99
* crystal system: tetragonal
* total magnetic moment: 0.35 μB/atom
* formation energy: -24 kJ/mol of formula units
* distance to the lowest polymorph of the same formula: 0.285 eV per atom

---

A relaxed structure of Be8AlN6. Source: Alexandria via LeMat-Bulk, functional PBE.

Cell lengths 5.1241, 5.1241, 9.6983 Å; angles 90.00, 90.00, 120.00 degrees
Fractional positions:
Be1 0.0000 0.3081 0.0000
Be2 0.0000 0.4025 0.3431
Be3 0.0000 0.5975 0.8431
Be4 0.0000 0.6919 0.5000
Be5 0.3081 0.0000 0.0000
Be6 0.3081 0.3081 0.5000
Be7 0.3333 0.6667 0.1432
Be8 0.3333 0.6667 0.6432
Be9 0.4025 0.0000 0.3431
Be10 0.4025 0.4025 0.8431
Be11 0.5975 0.0000 0.8431
Be12 0.5975 0.5975 0.3431
Be13 0.6667 0.3333 0.1432
Be14 0.6667 0.3333 0.6432
Be15 0.6919 0.0000 0.5000
Be16 0.6919 0.6919 0.0000
Al1 0.0000 0.0000 0.2184
Al2 0.0000 0.0000 0.7184
N1 0.0000 0.0000 0.4220
N2 0.0000 0.0000 0.9220
N3 0.0000 0.3510 0.1727
N4 0.0000 0.6490 0.6727
N5 0.3333 0.6667 0.4324
N6 0.3333 0.6667 0.9324
N7 0.3510 0.0000 0.1727
N8 0.3510 0.3510 0.6727
N9 0.6490 0.0000 0.6727
N10 0.6490 0.6490 0.1727
N11 0.6667 0.3333 0.4324
N12 0.6667 0.3333 0.9324

* symmetry: P6_3cm, No. 185
* crystal system: hexagonal
* total magnetic moment: 0.00 μB/atom
* ΔE_f (raw): -1233 kJ/mol of formula units